Computed, not measured: crystalline Er3ZnSn3 at its relaxed geometry at the PBE level of DFT.

Lattice parameters (Å, degrees): 11.273 4.412 14.792 90.00 107.87 90.00
Space group C2/m (No. 12)
Asymmetric unit:
Er 0.016 0.000 0.379 (multiplicity 4)
Er 0.100 0.000 0.921 (multiplicity 4)
Er 0.231 0.000 0.230 (multiplicity 4)
Zn 0.226 0.500 0.374 (multiplicity 4)
Sn 0.004 0.500 0.229 (multiplicity 4)
Sn 0.127 0.500 0.075 (multiplicity 4)
Sn 0.146 0.500 0.543 (multiplicity 4)

## Properties
The total magnetization is 0.000 μB per cell. The volume comes out at 700 Å³/cell. The value obtained for the total energy is -4.455 eV/atom. The energy above the most stable polymorph in this dataset comes out at 0.00 eV per formula unit.